Below is a geometry-optimized CaGeP2S structure, with properties calculated at the PBE level.

Unit cell a=4.727 b=4.727 c=4.929 alpha=90.00 beta=90.00 gamma=90.00
Fractional positions:
Ca1 0.000 0.000 0.000
Ge1 0.500 0.500 0.500
P1 0.000 0.500 0.500
P2 0.500 0.000 0.500
S1 0.500 0.500 0.000

The value obtained for the calculated volume is 22.03 A^3/atom. As for the space group: P4/mmm. The calculation puts the final energy at -4.288 eV/atom. The calculation puts the excess energy over the best structure of this formula in the dataset at 0 meV/atom. The formation energy without anion corrections is 0.571 kcal/mol of atoms.

---

Below is a geometry-optimized ThTl4 structure, with properties calculated at the PBE level.

Unit cell a=6.144 b=6.144 c=6.144 alpha=90.00 beta=90.00 gamma=90.00
Fractional positions:
Th1 0.000 0.000 0.000
Tl1 0.000 0.000 0.500
Tl2 0.000 0.500 0.000
Tl3 0.500 0.000 0.000
Tl4 0.500 0.500 0.500

The value obtained for the calculated volume is 46.38 A^3/atom. As for the space group: Pm-3m. The value obtained for the energy relative to the elements is 2.9 eV/f.u. The calculation puts the final energy at -2.796 eV/atom. The calculation puts the excess energy over the best structure of this formula in the dataset at 608 meV/atom.

---

Below is a geometry-optimized Sr2CaRe structure, with properties calculated at the PBE level.

Unit cell a=7.708 b=7.708 c=7.708 alpha=153.76 beta=135.58 gamma=52.33
Fractional positions:
Sr1 0.000 0.000 0.000
Sr2 0.680 0.180 0.500
Ca1 0.352 0.352 0.000
Re1 0.182 0.682 0.500

The value obtained for the calculated volume is 35.27 A^3/atom. As for the space group: Imm2. The value obtained for the energy relative to the elements is 3.2 eV/f.u. The calculation puts the final energy at -3.664 eV/atom. The calculation puts the excess energy over the best structure of this formula in the dataset at 33 meV/atom.

---

Below is a geometry-optimized Dy2SbN structure, with properties calculated at the PBE level.

Unit cell a=7.747 b=7.747 c=7.747 alpha=26.73 beta=26.73 gamma=26.73
Fractional positions:
Dy1 0.225 0.225 0.225
Dy2 0.775 0.775 0.775
Sb1 0.000 0.000 0.000
N1 0.500 0.500 0.500

The value obtained for the calculated volume is 20.73 A^3/atom. As for the space group: R-3m. The calculation puts the final energy at -6.603 eV/atom. The calculation puts the excess energy over the best structure of this formula in the dataset at 187 meV/atom. The formation energy without anion corrections is -27.438 kcal/mol of atoms.

---

Look up the excess energy over the best structure of this formula in the dataset of the second one. 608 meV/atom

---

What is the calculated volume in the fourth record? 20.73 A^3/atom